i | Here is Ce3PuSb2 after structural relaxation from Alexandria via LeMat-Bulk. Energies are from PBE. Values from VASP.

Structure (Quantum ESPRESSO input):
```
&SYSTEM
  ibrav = 0, nat = 6, ntyp = 3
/
ATOMIC_SPECIES
Ce 140.12 Ce.upf
Pu 244.00 Pu.upf
Sb 121.76 Sb.upf
ATOMIC_POSITIONS crystal
Ce 0.000 0.500 0.000
Ce 0.835 0.835 0.670
Ce 0.165 0.165 0.330
Pu 0.000 0.000 0.000
Sb 0.652 0.652 0.304
Sb 0.348 0.348 0.696
CELL_PARAMETERS angstrom
4.046 0.000 0.000
0.000 5.262 0.000
-2.023 -2.631 8.508
```

Properties
M_tot	10.03	Bohr magnetons per cell
symmetry	Immm



ii | Here is Ce3PuSb2 after structural relaxation from Alexandria via LeMat-Bulk. Energies are from PBE. Values from VASP.

Structure (Quantum ESPRESSO input):
```
&SYSTEM
  ibrav = 0, nat = 6, ntyp = 3
/
ATOMIC_SPECIES
Ce 140.12 Ce.upf
Pu 244.00 Pu.upf
Sb 121.76 Sb.upf
ATOMIC_POSITIONS crystal
Ce 0.000 0.500 0.168
Ce 0.000 0.500 0.829
Ce 0.500 0.500 0.337
Pu 0.500 0.500 0.666
Sb 0.500 0.000 0.997
Sb 0.000 0.000 0.503
CELL_PARAMETERS angstrom
-0.132 -4.807 -1.731
2.923 0.466 -1.516
4.238 -2.753 7.322
```

Properties
M_tot	8.14	Bohr magnetons per cell
symmetry	Pmm2



Most stable: i



i | Here is CePu2Sb2 after structural relaxation from Alexandria via LeMat-Bulk. Energies are from PBE. Values from VASP.

Structure (Quantum ESPRESSO input):
```
&SYSTEM
  ibrav = 0, nat = 10, ntyp = 3
/
ATOMIC_SPECIES
Ce 140.12 Ce.upf
Pu 244.00 Pu.upf
Sb 121.76 Sb.upf
ATOMIC_POSITIONS crystal
Ce 0.119 0.881 0.250
Ce 0.881 0.119 0.750
Pu 0.773 0.551 0.411
Pu 0.449 0.227 0.088
Pu 0.551 0.773 0.912
Pu 0.227 0.449 0.589
Sb 0.378 0.622 0.250
Sb 0.850 0.150 0.250
Sb 0.150 0.850 0.750
Sb 0.622 0.378 0.750
CELL_PARAMETERS angstrom
8.059 0.324 0.648
-1.358 7.951 0.649
-2.550 -3.148 4.565
```

Properties
M_tot	27.81	Bohr magnetons per cell
symmetry	C2/m



ii | Here is CePu2Sb2 after structural relaxation from Alexandria via LeMat-Bulk. Energies are from PBE. Values from VASP.

Structure (Quantum ESPRESSO input):
```
&SYSTEM
  ibrav = 0, nat = 10, ntyp = 3
/
ATOMIC_SPECIES
Ce 140.12 Ce.upf
Pu 244.00 Pu.upf
Sb 121.76 Sb.upf
ATOMIC_POSITIONS crystal
Ce 0.000 0.000 0.250
Ce 0.000 0.000 0.750
Pu 0.667 0.333 0.750
Pu 0.000 0.000 0.000
Pu 0.000 0.000 0.500
Pu 0.333 0.667 0.250
Sb 0.333 0.667 0.618
Sb 0.667 0.333 0.118
Sb 0.667 0.333 0.382
Sb 0.333 0.667 0.882
CELL_PARAMETERS angstrom
-0.723 4.428 -1.795
-3.361 -2.049 2.802
6.051 5.586 11.342
```

Properties
M_tot	3.26	Bohr magnetons per cell
symmetry	P6_3/mmc



Most stable: ii



i | Here is CePu2Sc after structural relaxation from Alexandria via LeMat-Bulk. Energies are from PBE. Values from VASP.

Structure (Quantum ESPRESSO input):
```
&SYSTEM
  ibrav = 0, nat = 4, ntyp = 3
/
ATOMIC_SPECIES
Ce 140.12 Ce.upf
Pu 244.00 Pu.upf
Sc 44.96 Sc.upf
ATOMIC_POSITIONS crystal
Ce 0.501 0.501 0.497
Pu 0.082 0.082 0.755
Pu 0.251 0.251 0.248
Sc 0.667 0.667 0.000
CELL_PARAMETERS angstrom
3.313 0.000 0.000
1.657 2.869 0.000
1.657 0.956 10.923
```

Properties
M_tot	0.35	Bohr magnetons per cell
symmetry	R3m



ii | Here is CePu2Sc after structural relaxation from Alexandria via LeMat-Bulk. Energies are from PBE. Values from VASP.

Structure (Quantum ESPRESSO input):
```
&SYSTEM
  ibrav = 0, nat = 4, ntyp = 3
/
ATOMIC_SPECIES
Sc 44.96 Sc.upf
Ce 140.12 Ce.upf
Pu 244.00 Pu.upf
ATOMIC_POSITIONS crystal
Sc 0.500 0.500 0.000
Ce 0.500 0.500 0.500
Pu 0.000 0.000 0.741
Pu 0.000 0.000 0.259
CELL_PARAMETERS angstrom
3.266 0.000 0.000
0.000 3.266 0.000
0.000 0.000 9.221
```

Properties
M_tot	10.71	Bohr magnetons per cell
symmetry	P4/mmm



iii | Here is CePu2Sc after structural relaxation from Alexandria via LeMat-Bulk. Energies are from PBE. Values from VASP.

Structure (Quantum ESPRESSO input):
```
&SYSTEM
  ibrav = 0, nat = 4, ntyp = 3
/
ATOMIC_SPECIES
Sc 44.96 Sc.upf
Ce 140.12 Ce.upf
Pu 244.00 Pu.upf
ATOMIC_POSITIONS crystal
Sc 0.000 0.000 0.000
Ce 0.500 0.500 0.500
Pu 0.751 0.751 0.747
Pu 0.249 0.249 0.253
CELL_PARAMETERS angstrom
3.297 0.000 0.000
1.649 2.856 0.000
1.649 0.952 10.694
```

Properties
M_tot	10.67	Bohr magnetons per cell
symmetry	R-3m



Most stable: ii



i | Here is CePu2Sc after structural relaxation from Alexandria via LeMat-Bulk. Energies are from PBE. Values from VASP.

Structure (Quantum ESPRESSO input):
```
&SYSTEM
  ibrav = 0, nat = 4, ntyp = 3
/
ATOMIC_SPECIES
Sc 44.96 Sc.upf
Ce 140.12 Ce.upf
Pu 244.00 Pu.upf
ATOMIC_POSITIONS crystal
Sc 0.500 0.000 0.000
Ce 0.500 0.500 0.500
Pu 0.000 0.000 0.500
Pu 0.000 0.500 0.000
CELL_PARAMETERS angstrom
-4.398 1.456 -0.095
-1.473 -4.471 -0.341
-0.199 -0.293 4.707
```

Properties
M_tot	12.14	Bohr magnetons per cell
symmetry	P4/mmm



ii | Here is CePu2Sc after structural relaxation from Alexandria via LeMat-Bulk. Energies are from PBE. Values from VASP.

Structure (Quantum ESPRESSO input):
```
&SYSTEM
  ibrav = 0, nat = 4, ntyp = 3
/
ATOMIC_SPECIES
Sc 44.96 Sc.upf
Ce 140.12 Ce.upf
Pu 244.00 Pu.upf
ATOMIC_POSITIONS crystal
Sc 0.500 0.500 0.500
Ce 0.000 0.000 0.000
Pu 0.250 0.250 0.250
Pu 0.750 0.750 0.750
CELL_PARAMETERS angstrom
-4.299 -0.961 2.927
0.458 -2.540 4.616
-0.745 2.609 4.539
```

Properties
M_tot	14.21	Bohr magnetons per cell
symmetry	Fm-3m



Most stable: i



i | Here is Ce2PuSc after structural relaxation from Alexandria via LeMat-Bulk. Energies are from PBE. Values from VASP.

Structure (Quantum ESPRESSO input):
```
&SYSTEM
  ibrav = 0, nat = 4, ntyp = 3
/
ATOMIC_SPECIES
Sc 44.96 Sc.upf
Ce 140.12 Ce.upf
Pu 244.00 Pu.upf
ATOMIC_POSITIONS crystal
Sc 0.500 0.500 0.500
Ce 0.000 0.000 0.500
Ce 0.000 0.500 0.000
Pu 0.500 0.000 0.000
CELL_PARAMETERS angstrom
4.545 0.000 0.000
0.000 4.802 0.000
0.000 0.000 4.802
```

Properties
M_tot	6.93	Bohr magnetons per cell
symmetry	P4/mmm



ii | Here is Ce2PuSc after structural relaxation from Alexandria via LeMat-Bulk. Energies are from PBE. Values from VASP.

Structure (Quantum ESPRESSO input):
```
&SYSTEM
  ibrav = 0, nat = 4, ntyp = 3
/
ATOMIC_SPECIES
Sc 44.96 Sc.upf
Ce 140.12 Ce.upf
Pu 244.00 Pu.upf
ATOMIC_POSITIONS crystal
Sc 0.500 0.500 0.500
Ce 0.250 0.250 0.250
Ce 0.750 0.750 0.750
Pu 0.000 0.000 0.000
CELL_PARAMETERS angstrom
5.314 0.000 0.000
2.657 4.602 0.000
2.657 1.534 4.339
```

Properties
M_tot	7.01	Bohr magnetons per cell
symmetry	Fm-3m



iii | Here is Ce2PuSc after structural relaxation from Alexandria via LeMat-Bulk. Energies are from PBE. Values from VASP.

Structure (Quantum ESPRESSO input):
```
&SYSTEM
  ibrav = 0, nat = 4, ntyp = 3
/
ATOMIC_SPECIES
Ce 140.12 Ce.upf
Pu 244.00 Pu.upf
Sc 44.96 Sc.upf
ATOMIC_POSITIONS crystal
Ce 0.110 0.110 0.670
Ce 0.226 0.226 0.322
Pu 0.502 0.502 0.493
Sc 0.662 0.662 0.014
CELL_PARAMETERS angstrom
3.610 0.000 0.000
1.805 3.126 0.000
1.805 1.042 8.940
```

Properties
M_tot	0.71	Bohr magnetons per cell
symmetry	R3m



Most stable: i



i | Here is Ce2Pu2Sc7 after structural relaxation from Alexandria via LeMat-Bulk. Energies are from PBE. Values from VASP.

Structure (Quantum ESPRESSO input):
```
&SYSTEM
  ibrav = 0, nat = 11, ntyp = 3
/
ATOMIC_SPECIES
Ce 140.12 Ce.upf
Pu 244.00 Pu.upf
Sc 44.96 Sc.upf
ATOMIC_POSITIONS crystal
Ce 0.069 0.381 0.381
Ce 0.931 0.619 0.619
Pu 0.500 0.142 0.858
Pu 0.500 0.858 0.142
Sc 0.207 0.927 0.427
Sc 0.793 0.573 0.073
Sc 0.793 0.073 0.573
Sc 0.207 0.427 0.927
Sc 0.000 0.000 0.000
Sc 0.489 0.688 0.688
Sc 0.511 0.312 0.312
CELL_PARAMETERS angstrom
6.435 -0.266 -0.385
-1.380 6.793 0.585
-1.380 -1.838 6.566
```

Properties
M_tot	11.93	Bohr magnetons per cell
symmetry	C2/m



ii | Here is Ce2Pu2Sc7 after structural relaxation from Alexandria via LeMat-Bulk. Energies are from PBE. Values from VASP.

Structure (Quantum ESPRESSO input):
```
&SYSTEM
  ibrav = 0, nat = 11, ntyp = 3
/
ATOMIC_SPECIES
Ce 140.12 Ce.upf
Pu 244.00 Pu.upf
Sc 44.96 Sc.upf
ATOMIC_POSITIONS crystal
Ce 0.500 0.767 0.233
Ce 0.500 0.233 0.767
Pu 0.023 0.825 0.825
Pu 0.977 0.175 0.175
Sc 0.233 0.875 0.565
Sc 0.767 0.435 0.125
Sc 0.767 0.125 0.435
Sc 0.233 0.565 0.875
Sc 0.000 0.000 0.000
Sc 0.437 0.592 0.592
Sc 0.563 0.408 0.408
CELL_PARAMETERS angstrom
3.297 -0.613 -1.056
-2.346 9.731 0.543
-0.893 1.463 9.877
```

Properties
M_tot	15.35	Bohr magnetons per cell
symmetry	C2/m



Most stable: i



i | Here is CePuSc4 after structural relaxation from Alexandria via LeMat-Bulk. Energies are from PBE. Values from VASP.

Structure (Quantum ESPRESSO input):
```
&SYSTEM
  ibrav = 0, nat = 12, ntyp = 3
/
ATOMIC_SPECIES
Ce 140.12 Ce.upf
Pu 244.00 Pu.upf
Sc 44.96 Sc.upf
ATOMIC_POSITIONS crystal
Ce 0.250 0.125 0.751
Ce 0.750 0.875 0.249
Pu 0.750 0.375 0.250
Pu 0.250 0.625 0.750
Sc 0.752 0.294 0.917
Sc 0.748 0.789 0.917
Sc 0.751 0.957 0.584
Sc 0.249 0.043 0.416
Sc 0.251 0.541 0.416
Sc 0.252 0.211 0.083
Sc 0.749 0.459 0.584
Sc 0.248 0.706 0.083
CELL_PARAMETERS angstrom
-2.686 4.531 -0.359
1.100 1.130 6.059
8.282 4.971 0.804
```

Properties
M_tot	12.44	Bohr magnetons per cell
symmetry	C2/c



ii | Here is CePuSc4 after structural relaxation from Alexandria via LeMat-Bulk. Energies are from PBE. Values from VASP.

Structure (Quantum ESPRESSO input):
```
&SYSTEM
  ibrav = 0, nat = 12, ntyp = 3
/
ATOMIC_SPECIES
Ce 140.12 Ce.upf
Pu 244.00 Pu.upf
Sc 44.96 Sc.upf
ATOMIC_POSITIONS crystal
Ce 0.565 0.250 0.000
Ce 0.065 0.750 0.500
Pu 0.059 0.750 0.000
Pu 0.559 0.250 0.500
Sc 0.386 0.750 0.000
Sc 0.905 0.250 0.000
Sc 0.229 0.250 0.752
Sc 0.729 0.750 0.748
Sc 0.405 0.750 0.500
Sc 0.886 0.250 0.500
Sc 0.729 0.750 0.252
Sc 0.229 0.250 0.248
CELL_PARAMETERS angstrom
-2.158 8.502 -2.389
-1.539 0.996 4.936
5.753 1.859 1.418
```

Properties
M_tot	13.22	Bohr magnetons per cell
symmetry	Imm2



Most stable: i



i | Here is CePuSc after structural relaxation from Alexandria via LeMat-Bulk. Energies are from PBE. Values from VASP.

Structure (Quantum ESPRESSO input):
```
&SYSTEM
  ibrav = 0, nat = 6, ntyp = 3
/
ATOMIC_SPECIES
Pu 244.00 Pu.upf
Ce 140.12 Ce.upf
Sc 44.96 Sc.upf
ATOMIC_POSITIONS crystal
Pu 0.547 0.250 0.095
Pu 0.453 0.750 0.905
Ce 0.907 0.250 0.814
Ce 0.093 0.750 0.186
Sc 0.280 0.250 0.561
Sc 0.720 0.750 0.439
CELL_PARAMETERS angstrom
5.027 0.000 0.000
0.000 3.320 0.000
-2.513 0.000 8.591
```

Properties
M_tot	0.00	Bohr magnetons per cell
symmetry	Cmcm



ii | Here is CePuSc after structural relaxation from Alexandria via LeMat-Bulk. Energies are from PBE. Values from VASP.

Structure (Quantum ESPRESSO input):
```
&SYSTEM
  ibrav = 0, nat = 3, ntyp = 3
/
ATOMIC_SPECIES
Sc 44.96 Sc.upf
Ce 140.12 Ce.upf
Pu 244.00 Pu.upf
ATOMIC_POSITIONS crystal
Sc 0.002 0.002 0.004
Ce 0.327 0.327 0.654
Pu 0.671 0.671 0.342
CELL_PARAMETERS angstrom
3.368 0.000 0.000
0.000 3.368 0.000
-1.684 -1.684 6.769
```

Properties
M_tot	4.95	Bohr magnetons per cell
symmetry	I4mm



iii | Here is CePuSc after structural relaxation from Alexandria via LeMat-Bulk. Energies are from PBE. Values from VASP.

Structure (Quantum ESPRESSO input):
```
&SYSTEM
  ibrav = 0, nat = 3, ntyp = 3
/
ATOMIC_SPECIES
Sc 44.96 Sc.upf
Ce 140.12 Ce.upf
Pu 244.00 Pu.upf
ATOMIC_POSITIONS crystal
Sc 0.667 0.333 0.335
Ce 0.000 0.000 0.994
Pu 0.333 0.667 0.670
CELL_PARAMETERS angstrom
-1.620 2.874 -0.437
0.282 -1.304 3.049
6.882 4.046 1.092
```

Properties
M_tot	4.95	Bohr magnetons per cell
symmetry	P3m1



iv | Here is CePuSc after structural relaxation from Alexandria via LeMat-Bulk. Energies are from PBE. Values from VASP.

Structure (Quantum ESPRESSO input):
```
&SYSTEM
  ibrav = 0, nat = 6, ntyp = 3
/
ATOMIC_SPECIES
Ce 140.12 Ce.upf
Pu 244.00 Pu.upf
Sc 44.96 Sc.upf
ATOMIC_POSITIONS crystal
Ce 0.190 0.698 0.411
Ce 0.896 0.849 0.241
Pu 0.501 0.555 0.074
Pu 0.583 0.992 0.577
Sc 0.783 0.401 0.745
Sc 0.301 0.147 0.907
CELL_PARAMETERS angstrom
-1.180 -2.762 -1.490
-0.907 -2.532 1.844
-15.265 4.792 -1.094
```

Properties
M_tot	10.59	Bohr magnetons per cell
symmetry	P-1



Most stable: ii



i | Here is CePuSe3 after structural relaxation from Alexandria via LeMat-Bulk. Energies are from PBE. Values from VASP.

Structure (Quantum ESPRESSO input):
```
&SYSTEM
  ibrav = 0, nat = 20, ntyp = 3
/
ATOMIC_SPECIES
Ce 140.12 Ce.upf
Pu 244.00 Pu.upf
Se 78.96 Se.upf
ATOMIC_POSITIONS crystal
Ce 0.750 0.868 0.794
Ce 0.250 0.132 0.206
Ce 0.750 0.368 0.706
Ce 0.250 0.632 0.294
Pu 0.250 0.268 0.960
Pu 0.250 0.768 0.540
Pu 0.750 0.232 0.460
Pu 0.750 0.732 0.040
Se 0.250 0.373 0.567
Se 0.750 0.846 0.219
Se 0.750 0.492 0.892
Se 0.750 0.992 0.608
Se 0.750 0.627 0.433
Se 0.250 0.008 0.392
Se 0.250 0.873 0.933
Se 0.750 0.346 0.281
Se 0.250 0.654 0.719
Se 0.250 0.154 0.781
Se 0.750 0.127 0.067
Se 0.250 0.508 0.108
CELL_PARAMETERS angstrom
4.175 0.000 0.000
0.000 7.738 0.000
0.000 0.000 15.896
```

Properties
M_tot	23.98	Bohr magnetons per cell
symmetry	Pnma



ii | Here is CePuSe3 after structural relaxation from Alexandria via LeMat-Bulk. Energies are from PBE. Values from VASP.

Structure (Quantum ESPRESSO input):
```
&SYSTEM
  ibrav = 0, nat = 10, ntyp = 3
/
ATOMIC_SPECIES
Ce 140.12 Ce.upf
Pu 244.00 Pu.upf
Se 78.96 Se.upf
ATOMIC_POSITIONS crystal
Ce 0.500 0.000 0.154
Ce 0.000 0.500 0.846
Pu 0.000 0.000 0.598
Pu 0.500 0.500 0.402
Se 0.000 0.769 0.326
Se 0.500 0.731 0.674
Se 0.500 0.269 0.674
Se 0.000 0.231 0.326
Se 0.000 0.000 0.933
Se 0.500 0.500 0.067
CELL_PARAMETERS angstrom
4.146 0.000 0.000
0.000 6.955 0.000
0.000 0.000 9.117
```

Properties
M_tot	12.00	Bohr magnetons per cell
symmetry	Pmmn



Most stable: i



i | Here is CePuSi after structural relaxation from Alexandria via LeMat-Bulk. Energies are from PBE. Values from VASP.

Structure (Quantum ESPRESSO input):
```
&SYSTEM
  ibrav = 0, nat = 3, ntyp = 3
/
ATOMIC_SPECIES
Si 28.09 Si.upf
Ce 140.12 Ce.upf
Pu 244.00 Pu.upf
ATOMIC_POSITIONS crystal
Si 0.250 0.250 0.250
Ce 0.000 0.000 0.000
Pu 0.500 0.500 0.500
CELL_PARAMETERS angstrom
-1.655 -3.969 -2.293
1.886 -1.292 -4.304
2.809 -3.969 -0.337
```

Properties
M_tot	7.46	Bohr magnetons per cell
symmetry	F-43m



ii | Here is CePuSi after structural relaxation from Alexandria via LeMat-Bulk. Energies are from PBE. Values from VASP.

Structure (Quantum ESPRESSO input):
```
&SYSTEM
  ibrav = 0, nat = 3, ntyp = 3
/
ATOMIC_SPECIES
Si 28.09 Si.upf
Ce 140.12 Ce.upf
Pu 244.00 Pu.upf
ATOMIC_POSITIONS crystal
Si 0.667 0.667 0.333
Ce 0.167 0.333 0.667
Pu 0.167 0.000 0.000
CELL_PARAMETERS angstrom
-2.282 1.495 -1.365
-2.165 -4.242 -1.027
-0.997 2.294 4.181
```

Properties
M_tot	5.62	Bohr magnetons per cell
symmetry	P-6m2



iii | Here is CePuSi after structural relaxation from Alexandria via LeMat-Bulk. Energies are from PBE. Values from VASP.

Structure (Quantum ESPRESSO input):
```
&SYSTEM
  ibrav = 0, nat = 6, ntyp = 3
/
ATOMIC_SPECIES
Ce 140.12 Ce.upf
Pu 244.00 Pu.upf
Si 28.09 Si.upf
ATOMIC_POSITIONS crystal
Ce 0.581 0.581 0.162
Ce 0.419 0.419 0.838
Pu 0.293 0.293 0.586
Pu 0.707 0.707 0.414
Si 0.150 0.150 0.301
Si 0.850 0.850 0.699
CELL_PARAMETERS angstrom
3.777 0.000 0.000
0.000 3.777 0.000
-1.889 -1.889 10.793
```

Properties
M_tot	13.40	Bohr magnetons per cell
symmetry	I4/mmm



Most stable: iii